--- i ---
This record from the Alexandria database describes a relaxed RbNa12Cd6 crystal. The functional is PBE.

calculated volume: 657.4 Å³/f.u.
total magnetic moment: 0.00 μB per atom
SG: R-3m, No. 166

a b c (Å): 9.041 9.041 9.041
angles (deg): 104.15 104.15 104.15
Element x y z (fractional)
Rb (0.000, 0.000, 0.000)
Na (0.885, 0.115, 0.500)
Na (0.848, 0.579, 0.579)
Na (0.579, 0.579, 0.848)
Na (0.421, 0.152, 0.421)
Na (0.421, 0.421, 0.152)
Na (0.152, 0.421, 0.421)
Na (0.115, 0.500, 0.885)
Na (0.500, 0.885, 0.115)
Na (0.115, 0.885, 0.500)
Na (0.885, 0.500, 0.115)
Na (0.500, 0.115, 0.885)
Na (0.579, 0.848, 0.579)
Cd (0.706, 0.267, 0.267)
Cd (0.267, 0.267, 0.706)
Cd (0.267, 0.706, 0.267)
Cd (0.733, 0.733, 0.294)
Cd (0.294, 0.733, 0.733)
Cd (0.733, 0.294, 0.733)


--- ii ---
This record from the Alexandria database describes a relaxed RbNa12Cd6 crystal. The functional is PBE.

calculated volume: 610.3 Å³/f.u.
total magnetic moment: 0.00 μB per atom
SG: R-3, No. 148

a b c (Å): 8.484 8.484 8.484
angles (deg): 88.93 88.93 88.93
Element x y z (fractional)
Rb (0.000, 0.000, 0.000)
Na (0.475, 0.195, 0.581)
Na (0.195, 0.581, 0.475)
Na (0.581, 0.475, 0.195)
Na (0.525, 0.805, 0.419)
Na (0.805, 0.419, 0.525)
Na (0.419, 0.525, 0.805)
Na (0.834, 0.980, 0.605)
Na (0.395, 0.166, 0.020)
Na (0.020, 0.395, 0.166)
Na (0.166, 0.020, 0.395)
Na (0.605, 0.834, 0.980)
Na (0.980, 0.605, 0.834)
Cd (0.117, 0.267, 0.705)
Cd (0.733, 0.295, 0.883)
Cd (0.295, 0.883, 0.733)
Cd (0.883, 0.733, 0.295)
Cd (0.267, 0.705, 0.117)
Cd (0.705, 0.117, 0.267)


On energetic grounds, ii is preferred over the next structure by 8 meV per atom.


--- i ---
This record from the Alexandria database describes a relaxed RbNa4Cd4 crystal. The functional is PBE.

calculated volume: 288.3 Å³/f.u.
total magnetic moment: 0.00 μB per atom
SG: P4_2/nmc, No. 137

a b c (Å): 6.974 6.974 11.853
angles (deg): 90.00 90.00 90.00
Element x y z (fractional)
Rb (0.000, 0.000, 0.000)
Rb (0.500, 0.500, 0.500)
Na (0.500, 0.769, 0.784)
Na (0.500, 0.231, 0.784)
Na (0.769, 0.500, 0.216)
Na (0.231, 0.500, 0.216)
Na (0.269, 0.000, 0.284)
Na (0.731, 0.000, 0.284)
Na (0.000, 0.269, 0.716)
Na (0.000, 0.731, 0.716)
Cd (0.214, 0.500, 0.944)
Cd (0.786, 0.500, 0.944)
Cd (0.500, 0.786, 0.056)
Cd (0.500, 0.214, 0.056)
Cd (0.000, 0.714, 0.444)
Cd (0.000, 0.286, 0.444)
Cd (0.286, 0.000, 0.556)
Cd (0.714, 0.000, 0.556)


--- ii ---
This record from the Alexandria database describes a relaxed RbNa4Cd4 crystal. The functional is PBE.

calculated volume: 292.4 Å³/f.u.
total magnetic moment: 0.00 μB per atom
SG: I4/mmm, No. 139

a b c (Å): 4.449 11.465 11.465
angles (deg): 90.00 90.00 90.00
Element x y z (fractional)
Rb (0.000, 0.000, 0.000)
Rb (0.500, 0.500, 0.500)
Na (0.500, 0.500, 0.818)
Na (0.000, 0.682, 0.000)
Na (0.500, 0.500, 0.182)
Na (0.000, 0.000, 0.682)
Na (0.500, 0.818, 0.500)
Na (0.000, 0.000, 0.318)
Na (0.000, 0.318, 0.000)
Na (0.500, 0.182, 0.500)
Cd (0.500, 0.808, 0.192)
Cd (0.500, 0.192, 0.808)
Cd (0.000, 0.692, 0.692)
Cd (0.000, 0.308, 0.692)
Cd (0.000, 0.692, 0.308)
Cd (0.500, 0.192, 0.192)
Cd (0.500, 0.808, 0.808)
Cd (0.000, 0.308, 0.308)


On energetic grounds, i is preferred over the next structure by 12 meV per atom.


--- i ---
This record from the Alexandria database describes a relaxed RbNa2CdSn crystal. The functional is PBE.

calculated volume: 197.8 Å³/f.u.
total magnetic moment: 0.00 μB per atom
SG: P4/mmm, No. 123

a b c (Å): 5.986 5.986 5.522
angles (deg): 90.00 90.00 90.00
Element x y z (fractional)
Na (0.000, 0.500, 0.000)
Na (0.500, 0.000, 0.000)
Sn (0.000, 0.000, 0.500)
Rb (0.500, 0.500, 0.500)
Cd (0.000, 0.000, 0.000)


--- ii ---
This record from the Alexandria database describes a relaxed RbNa2CdSn crystal. The functional is PBE.

calculated volume: 208.2 Å³/f.u.
total magnetic moment: 0.00 μB per atom
SG: P4/mmm, No. 123

a b c (Å): 6.073 6.073 5.645
angles (deg): 90.00 90.00 90.00
Element x y z (fractional)
Na (0.000, 0.500, 0.000)
Na (0.500, 0.000, 0.000)
Sn (0.000, 0.000, 0.000)
Rb (0.500, 0.500, 0.500)
Cd (0.000, 0.000, 0.500)


On energetic grounds, ii is preferred over the next structure by 58 meV per atom.


--- i ---
This record from the Alexandria database describes a relaxed RbNaTl2Cd crystal. The functional is PBE.

calculated volume: 178.0 Å³/f.u.
total magnetic moment: 0.00 μB per atom
SG: Pmma, No. 51

a b c (Å): 6.733 6.159 8.587
angles (deg): 90.00 90.00 90.00
Element x y z (fractional)
Rb (0.267, 0.250, 0.500)
Rb (0.733, 0.750, 0.500)
Na (0.595, 0.750, 0.000)
Na (0.405, 0.250, 0.000)
Tl (0.770, 0.250, 0.745)
Tl (0.770, 0.250, 0.255)
Tl (0.230, 0.750, 0.745)
Tl (0.230, 0.750, 0.255)
Cd (0.000, 0.000, 0.000)
Cd (0.000, 0.500, 0.000)


--- ii ---
This record from the Alexandria database describes a relaxed RbNaTl2Cd crystal. The functional is PBE.

calculated volume: 200.2 Å³/f.u.
total magnetic moment: 0.00 μB per atom
SG: P4/mmm, No. 123

a b c (Å): 5.793 5.793 5.967
angles (deg): 90.00 90.00 90.00
Element x y z (fractional)
Na (0.000, 0.000, 0.500)
Tl (0.000, 0.500, 0.000)
Tl (0.500, 0.000, 0.000)
Rb (0.500, 0.500, 0.500)
Cd (0.000, 0.000, 0.000)


On energetic grounds, i is preferred over the next structure by 87 meV per atom.


--- i ---
This record from the Alexandria database describes a relaxed RbNaTlCd crystal. The functional is PBE.

calculated volume: 137.0 Å³/f.u.
total magnetic moment: 0.00 μB per atom
SG: F-43m, No. 216

a b c (Å): 5.786 5.786 5.786
angles (deg): 60.00 60.00 60.00
Element x y z (fractional)
Na (0.250, 0.250, 0.250)
Tl (0.500, 0.500, 0.500)
Rb (0.000, 0.000, 0.000)
Cd (0.750, 0.750, 0.750)


--- ii ---
This record from the Alexandria database describes a relaxed RbNaTlCd crystal. The functional is PBE.

calculated volume: 159.5 Å³/f.u.
total magnetic moment: 0.00 μB per atom
SG: Cm, No. 8

a b c (Å): 5.278 5.278 7.278
angles (deg): 90.00 111.34 119.89
Element x y z (fractional)
Rb (0.401, 0.065, 0.467)
Na (0.013, 0.871, 0.884)
Tl (0.471, 0.600, 0.072)
Cd (0.807, 0.268, 0.074)


On energetic grounds, ii is preferred over the next structure by 84 meV per atom.


--- i ---
This record from the Alexandria database describes a relaxed RbNa2TlCd crystal. The functional is PBE.

calculated volume: 214.4 Å³/f.u.
total magnetic moment: 0.00 μB per atom
SG: P4/mmm, No. 123

a b c (Å): 6.067 6.067 5.826
angles (deg): 90.00 90.00 90.00
Element x y z (fractional)
Na (0.000, 0.500, 0.000)
Na (0.500, 0.000, 0.000)
Tl (0.000, 0.000, 0.000)
Rb (0.500, 0.500, 0.500)
Cd (0.000, 0.000, 0.500)


--- ii ---
This record from the Alexandria database describes a relaxed RbNa2TlCd crystal. The functional is PBE.

calculated volume: 210.3 Å³/f.u.
total magnetic moment: 0.00 μB per atom
SG: P4/mmm, No. 123

a b c (Å): 6.044 6.044 5.758
angles (deg): 90.00 90.00 90.00
Element x y z (fractional)
Na (0.000, 0.500, 0.000)
Na (0.500, 0.000, 0.000)
Tl (0.000, 0.000, 0.500)
Rb (0.500, 0.500, 0.500)
Cd (0.000, 0.000, 0.000)


On energetic grounds, i is preferred over the next structure by 8 meV per atom.


--- i ---
This record from the Alexandria database describes a relaxed NaCd2Re crystal. The functional is PBE.

calculated volume: 94.0 Å³/f.u.
total magnetic moment: 0.59 μB per atom
SG: I-42d, No. 122

a b c (Å): 4.409 4.409 10.162
angles (deg): 77.47 77.47 90.00
Element x y z (fractional)
Re (0.000, 0.000, 0.000)
Re (0.750, 0.250, 0.500)
Na (0.500, 0.500, 0.000)
Na (0.250, 0.750, 0.500)
Cd (0.653, 0.125, 0.250)
Cd (0.097, 0.625, 0.250)
Cd (0.375, 0.347, 0.750)
Cd (0.875, 0.903, 0.750)


--- ii ---
This record from the Alexandria database describes a relaxed NaCd2Re crystal. The functional is PBE.

calculated volume: 79.2 Å³/f.u.
total magnetic moment: 0.50 μB per atom
SG: Fm-3m, No. 225

a b c (Å): 4.821 4.821 4.821
angles (deg): 60.00 60.00 60.00
Element x y z (fractional)
Re (0.500, 0.500, 0.500)
Na (0.000, 0.000, 0.000)
Cd (0.250, 0.250, 0.250)
Cd (0.750, 0.750, 0.750)


On energetic grounds, ii is preferred over the next structure by 431 meV per atom.


--- i ---
This record from the Alexandria database describes a relaxed Na2Cd2Rh crystal. The functional is PBE.

calculated volume: 116.7 Å³/f.u.
total magnetic moment: 0.00 μB per atom
SG: P2_1/m, No. 11

a b c (Å): 5.820 6.302 12.741
angles (deg): 93.12 90.00 90.00
Element x y z (fractional)
Na (0.750, 0.592, 0.047)
Na (0.750, 0.092, 0.047)
Na (0.250, 0.908, 0.953)
Na (0.250, 0.408, 0.953)
Na (0.250, 0.041, 0.700)
Na (0.250, 0.541, 0.700)
Na (0.750, 0.459, 0.300)
Na (0.750, 0.959, 0.300)
Cd (0.750, 0.283, 0.814)
Cd (0.750, 0.783, 0.814)
Cd (0.250, 0.217, 0.186)
Cd (0.250, 0.717, 0.186)
Cd (0.500, 0.250, 0.500)
Cd (0.000, 0.750, 0.500)
Cd (0.000, 0.250, 0.500)
Cd (0.500, 0.750, 0.500)
Rh (0.750, 0.514, 0.637)
Rh (0.250, 0.486, 0.363)
Rh (0.750, 0.014, 0.637)
Rh (0.250, 0.986, 0.363)


--- ii ---
This record from the Alexandria database describes a relaxed Na2Cd2Rh crystal. The functional is PBE.

calculated volume: 122.2 Å³/f.u.
total magnetic moment: 0.00 μB per atom
SG: P4/mbm, No. 127

a b c (Å): 6.984 6.984 5.010
angles (deg): 90.00 90.00 90.00
Element x y z (fractional)
Na (0.180, 0.680, 0.500)
Na (0.680, 0.820, 0.500)
Na (0.820, 0.320, 0.500)
Na (0.320, 0.180, 0.500)
Rh (0.000, 0.000, 0.000)
Rh (0.500, 0.500, 0.000)
Cd (0.352, 0.852, 0.000)
Cd (0.852, 0.648, 0.000)
Cd (0.648, 0.148, 0.000)
Cd (0.148, 0.352, 0.000)


On energetic grounds, i is preferred over the next structure by 145 meV per atom.